This record from Alexandria via LeMat-Bulk describes Ca4NdY3Se8 after structural relaxation. The functional is PBE.

```
16
Lattice="-7.2743 -0.2723 3.9029 -3.9008 -0.9996 -7.3400 6.0372 -5.2121 2.1487" Properties=species:S:1:pos:R:3 pbc="T T T"
Ca 3.0186 -2.6061 1.0743
Se -3.4272 -3.0284 2.1410
Se 1.2535 -6.0148 -2.3752
Se -2.3186 -6.1485 -0.4586
Y -2.5689 -3.2420 -0.6442
Y 1.0682 -3.1059 -2.5957
Se -2.8192 -0.3355 -0.8298
Se -6.3913 -0.4693 1.0868
Ca -0.6185 -2.7422 3.0258
Se -5.3527 -3.5391 -1.4834
Y -5.5875 -0.6359 -1.7186
Ca -3.6371 -0.1362 1.9515
Nd -1.9504 -0.4998 -3.6700
Se 0.2148 -2.9449 0.1949
Ca 0.0000 0.0000 0.0000
Se -1.7107 -3.4556 -3.4295
```

Formation energy without anion corrections: -1.888 eV/atom
Total energy: -5.64 eV per atom

---

This record from Alexandria via LeMat-Bulk describes CaNd4YSe8 after structural relaxation. The functional is PBE.

```
14
Lattice="-4.9430 -3.1082 -6.4271 -6.1582 -5.8774 1.7127 -8.3401 2.1771 -0.5045" Properties=species:S:1:pos:R:3 pbc="T T T"
Se -14.4749 -5.2247 -3.9385
Se -10.5649 -6.3155 -3.7259
Se -7.8905 -4.6339 -0.2486
Nd -7.2379 -1.8167 0.5793
Ca -11.4516 -1.4746 -2.2114
Se -8.8850 -0.4992 -1.4963
Se -12.2032 -3.6661 -0.5735
Se -11.5484 -2.1740 -4.9594
Se -4.9668 -1.5834 -1.2802
Y -8.3082 2.1415 -0.5118
Se -7.2331 -3.1356 -4.6525
Nd -7.9938 -5.3293 -3.0065
Nd -6.6402 -0.4548 -3.4240
Nd -4.2091 1.0739 -0.2630
```

Formation energy without anion corrections: -1.801 eV/atom
Total energy: -5.76 eV per atom

---

This record from Alexandria via LeMat-Bulk describes CaNdY2Se4 after structural relaxation. The functional is PBE.

```
8
Lattice="4.1237 0.0000 0.0000 0.0000 7.1830 -0.1617 0.0000 2.5103 6.7630" Properties=species:S:1:pos:R:3 pbc="T T T"
Se 2.0619 6.0658 1.5824
Se 2.0619 3.6275 5.0189
Se 4.1237 2.3814 1.7065
Ca 0.0000 4.8466 3.3007
Y 2.0619 1.2551 3.3815
Nd 2.0619 6.1018 6.6821
Se 0.0001 7.3119 4.8947
Y 0.0000 2.5103 6.7630
```

Formation energy without anion corrections: -1.839 eV/atom
Total energy: -6.04 eV per atom

---

This record from Alexandria via LeMat-Bulk describes Ca3NdY2Se6 after structural relaxation. The functional is PBE.

```
12
Lattice="7.1699 0.0029 -0.0007 -3.5807 6.2117 -0.0007 -1.1980 -2.0744 6.8846" Properties=species:S:1:pos:R:3 pbc="T T T"
Ca -2.4115 4.1533 3.4416
Nd 0.0000 0.0000 0.0000
Y 3.5941 2.0680 -0.0007
Se 2.4442 0.0012 1.7211
Se 3.6116 2.0225 5.1621
Se -0.0531 4.1390 5.1621
Se -1.2205 2.1177 1.7211
Ca 4.8026 -0.0131 3.4416
Y -0.0050 4.1466 -0.0007
Se 2.3644 4.0940 1.7126
Se 0.0267 0.0462 5.1706
Ca 1.1956 2.0701 3.4416
```

Formation energy without anion corrections: -1.890 eV/atom
Total energy: -5.61 eV per atom

---

This record from Alexandria via LeMat-Bulk describes CaNd2Si after structural relaxation. The functional is PBE.

```
4
Lattice="4.0274 0.0000 0.0000 0.0000 4.0274 0.0000 0.0000 0.0000 7.1683" Properties=species:S:1:pos:R:3 pbc="T T T"
Nd 0.0000 0.0000 5.6924
Ca 2.0137 2.0137 3.5841
Si 2.0137 2.0137 0.0000
Nd 0.0000 0.0000 1.4759
```

Relative energy among the computed polymorphs: 0 meV per atom
Formation energy without anion corrections: -0.182 eV/atom
Total energy: -4.42 eV per atom

---

This record from Alexandria via LeMat-Bulk describes CaNd2Si after structural relaxation. The functional is PBE.

```
4
Lattice="-1.2906 3.3017 -1.9927 -3.9774 0.8195 -0.2158 -1.0554 7.1926 8.4516" Properties=species:S:1:pos:R:3 pbc="T T T"
Ca 0.0000 0.0000 0.0000
Si -3.1617 5.6569 3.1216
Nd -5.0249 6.1401 0.9792
Nd -1.2985 5.1738 5.2639
```

Relative energy among the computed polymorphs: 95 meV per atom
Formation energy without anion corrections: -0.087 eV/atom
Total energy: -4.33 eV per atom